The following is a DFT calculation (PBE) of a relaxed structure of Sm3Al4Au2.

Electronic total energy ... -83.25 eV/cell
Formation energy from the elements ... -5.9 eV/f.u.
V ... 404.0 Å³/cell

Cell: 10.929 4.586 8.700 Å, 90.00 112.12 90.00°
Space group C2/m (No. 12)
Asymmetric unit:
1 Sm 0.000 0.000 0.000 (multiplicity 2)
2 Sm 0.176 0.500 0.654 (multiplicity 4)
3 Al 0.024 0.000 0.361 (multiplicity 4)
4 Al 0.236 0.500 0.074 (multiplicity 4)
5 Au 0.098 0.500 0.269 (multiplicity 4)